Record 1
Computed, not measured: a relaxed structure of RhPbSe2O8 at the GGA-PBE level of DFT.

## Properties
Space group: C2/m, No. 12
Raw formation energy (meV per atom): -657

Cell and atoms, written as CIF:
```
data_RhPbSe2O8
_cell_length_a 5.153
_cell_length_b 5.153
_cell_length_c 7.488
_cell_angle_alpha 87.26
_cell_angle_beta 87.26
_cell_angle_gamma 68.14
_symmetry_space_group_name_H-M 'P 1'
_symmetry_Int_Tables_number 1
_symmetry_space_group_name_Hall 'P 1'
loop_
_atom_site_label
_atom_site_type_symbol
_atom_site_fract_x
_atom_site_fract_y
_atom_site_fract_z
O1 O 0.240 0.240 0.973
O2 O 0.285 0.285 0.588
O3 O 0.760 0.760 0.027
O4 O 0.731 0.232 0.795
O5 O 0.768 0.269 0.205
O6 O 0.232 0.731 0.795
O7 O 0.715 0.715 0.412
O8 O 0.269 0.768 0.205
Se1 Se 0.365 0.365 0.788
Se2 Se 0.635 0.635 0.212
Rh1 Rh 0.000 0.000 0.000
Pb1 Pb 0.000 0.000 0.500
```

---

Record 2
Computed, not measured: a relaxed structure of LiGdAlHg at the GGA-PBE level of DFT.

## Properties
Space group: F-43m, No. 216
Energy of formation (eV/atom): -0.317

Cell and atoms, written as CIF:
```
data_LiGdAlHg
_cell_length_a 4.988
_cell_length_b 4.988
_cell_length_c 4.988
_cell_angle_alpha 60.00
_cell_angle_beta 60.00
_cell_angle_gamma 60.00
_symmetry_space_group_name_H-M 'P 1'
_symmetry_Int_Tables_number 1
_symmetry_space_group_name_Hall 'P 1'
loop_
_atom_site_label
_atom_site_type_symbol
_atom_site_fract_x
_atom_site_fract_y
_atom_site_fract_z
Gd1 Gd 0.500 0.500 0.500
Hg1 Hg 0.250 0.250 0.250
Li1 Li 0.000 0.000 0.000
Al1 Al 0.750 0.750 0.750
```

---

Record 3
Computed, not measured: a relaxed structure of TiGa3Ir4 at the GGA-PBE level of DFT.

## Properties
Space group: Pmma, No. 51
Energy of formation (eV/atom): -0.554

Cell and atoms, written as CIF:
```
data_TiGa3Ir4
_cell_length_a 4.472
_cell_length_b 5.870
_cell_length_c 8.849
_cell_angle_alpha 90.00
_cell_angle_beta 90.00
_cell_angle_gamma 90.00
_symmetry_space_group_name_H-M 'P 1'
_symmetry_Int_Tables_number 1
_symmetry_space_group_name_Hall 'P 1'
loop_
_atom_site_label
_atom_site_type_symbol
_atom_site_fract_x
_atom_site_fract_y
_atom_site_fract_z
Ga1 Ga 0.000 0.000 0.500
Ga2 Ga 0.556 0.500 0.750
Ga3 Ga 0.000 0.000 0.000
Ga4 Ga 0.552 0.000 0.750
Ga5 Ga 0.444 0.500 0.250
Ga6 Ga 0.448 0.000 0.250
Ir1 Ir 0.500 0.248 0.500
Ir2 Ir 0.500 0.752 0.500
Ir3 Ir 0.939 0.754 0.250
Ir4 Ir 0.500 0.248 0.000
Ir5 Ir 0.061 0.246 0.750
Ir6 Ir 0.061 0.754 0.750
Ir7 Ir 0.500 0.752 0.000
Ir8 Ir 0.939 0.246 0.250
Ti1 Ti 0.000 0.500 0.500
Ti2 Ti 0.000 0.500 0.000
```

---

Record 4
Computed, not measured: a relaxed structure of Ba2HRh at the GGA-PBE level of DFT.

## Properties
Offset from the most stable computed form (meV/atom): 0
Space group: Cm, No. 8

Cell and atoms, written as CIF:
```
data_Ba2HRh
_cell_length_a 4.838
_cell_length_b 4.838
_cell_length_c 8.318
_cell_angle_alpha 54.43
_cell_angle_beta 54.43
_cell_angle_gamma 60.12
_symmetry_space_group_name_H-M 'P 1'
_symmetry_Int_Tables_number 1
_symmetry_space_group_name_Hall 'P 1'
loop_
_atom_site_label
_atom_site_type_symbol
_atom_site_fract_x
_atom_site_fract_y
_atom_site_fract_z
Ba1 Ba 0.172 0.172 0.804
Ba2 Ba 0.157 0.157 0.327
H1 H 0.493 0.493 0.823
Rh1 Rh 0.677 0.677 0.546
```

---

Record 5
Computed, not measured: a relaxed structure of Mn2TlCo at the GGA-PBE level of DFT.

## Properties
Offset from the most stable computed form (meV/atom): 106
Space group: P4/mmm, No. 123
Energy of formation (eV/atom): 0.402

Cell and atoms, written as CIF:
```
data_Mn2TlCo
_cell_length_a 4.012
_cell_length_b 4.011
_cell_length_c 3.786
_cell_angle_alpha 90.00
_cell_angle_beta 90.00
_cell_angle_gamma 90.00
_symmetry_space_group_name_H-M 'P 1'
_symmetry_Int_Tables_number 1
_symmetry_space_group_name_Hall 'P 1'
loop_
_atom_site_label
_atom_site_type_symbol
_atom_site_fract_x
_atom_site_fract_y
_atom_site_fract_z
Tl1 Tl 0.500 0.000 0.500
Co1 Co 0.000 0.500 0.500
Mn1 Mn 0.500 0.500 0.000
Mn2 Mn 0.000 0.000 0.000
```

---

Record 6
Computed, not measured: a relaxed structure of BaDy2Al at the GGA-PBE level of DFT.

## Properties
Offset from the most stable computed form (meV/atom): 0
Space group: P4/mmm, No. 123
Energy of formation (eV/atom): -0.062

Cell and atoms, written as CIF:
```
data_BaDy2Al
_cell_length_a 3.657
_cell_length_b 3.657
_cell_length_c 9.909
_cell_angle_alpha 90.00
_cell_angle_beta 90.00
_cell_angle_gamma 90.00
_symmetry_space_group_name_H-M 'P 1'
_symmetry_Int_Tables_number 1
_symmetry_space_group_name_Hall 'P 1'
loop_
_atom_site_label
_atom_site_type_symbol
_atom_site_fract_x
_atom_site_fract_y
_atom_site_fract_z
Dy1 Dy 0.000 0.000 0.178
Dy2 Dy 0.000 0.000 0.822
Al1 Al 0.500 0.500 0.000
Ba1 Ba 0.500 0.500 0.500
```

---

Record 7
Computed, not measured: a relaxed structure of NbCu5Pt6 at the GGA-PBE level of DFT.

## Properties
Space group: Cmmm, No. 65
Energy of formation (eV/atom): -0.324

Cell and atoms, written as CIF:
```
data_NbCu5Pt6
_cell_length_a 3.953
_cell_length_b 7.373
_cell_length_c 6.245
_cell_angle_alpha 90.00
_cell_angle_beta 71.55
_cell_angle_gamma 90.01
_symmetry_space_group_name_H-M 'P 1'
_symmetry_Int_Tables_number 1
_symmetry_space_group_name_Hall 'P 1'
loop_
_atom_site_label
_atom_site_type_symbol
_atom_site_fract_x
_atom_site_fract_y
_atom_site_fract_z
Pt1 Pt 0.500 0.247 0.000
Pt2 Pt 0.167 0.746 0.665
Pt3 Pt 0.833 0.254 0.335
Pt4 Pt 0.168 0.254 0.665
Pt5 Pt 0.832 0.746 0.335
Pt6 Pt 0.500 0.753 0.000
Cu1 Cu 0.662 0.500 0.674
Cu2 Cu 0.338 0.500 0.326
Cu3 Cu 0.329 0.000 0.340
Cu4 Cu 0.000 0.500 0.000
Cu5 Cu 0.671 0.000 0.660
Nb1 Nb 0.000 0.000 0.000
```

---

Record 8
Computed, not measured: a relaxed structure of CaErAl at the GGA-PBE level of DFT.

## Properties
Offset from the most stable computed form (meV/atom): 49
Space group: P-3m1, No. 164
Energy of formation (eV/atom): -0.115

Cell and atoms, written as CIF:
```
data_CaErAl
_cell_length_a 5.110
_cell_length_b 5.109
_cell_length_c 7.788
_cell_angle_alpha 90.01
_cell_angle_beta 90.02
_cell_angle_gamma 60.00
_symmetry_space_group_name_H-M 'P 1'
_symmetry_Int_Tables_number 1
_symmetry_space_group_name_Hall 'P 1'
loop_
_atom_site_label
_atom_site_type_symbol
_atom_site_fract_x
_atom_site_fract_y
_atom_site_fract_z
Al1 Al 0.000 0.500 0.822
Al2 Al 0.000 0.500 0.178
Ca1 Ca 0.333 0.833 0.636
Ca2 Ca 0.667 0.167 0.364
Er1 Er 0.667 0.167 0.903
Er2 Er 0.333 0.833 0.097
```

---

Record 9
Computed, not measured: a relaxed structure of Ti8GaSn2 at the GGA-PBE level of DFT.

## Properties
Space group: Immm, No. 71
Energy of formation (eV/atom): -0.205

Cell and atoms, written as CIF:
```
data_Ti8GaSn2
_cell_length_a 4.579
_cell_length_b 6.388
_cell_length_c 7.829
_cell_angle_alpha 114.08
_cell_angle_beta 107.00
_cell_angle_gamma 90.00
_symmetry_space_group_name_H-M 'P 1'
_symmetry_Int_Tables_number 1
_symmetry_space_group_name_Hall 'P 1'
loop_
_atom_site_label
_atom_site_type_symbol
_atom_site_fract_x
_atom_site_fract_y
_atom_site_fract_z
Ti1 Ti 0.641 0.413 0.283
Ti2 Ti 0.000 0.265 0.000
Ti3 Ti 0.168 0.168 0.336
Ti4 Ti 0.832 0.832 0.664
Ti5 Ti 0.359 0.130 0.717
Ti6 Ti 0.000 0.735 0.000
Ti7 Ti 0.359 0.587 0.717
Ti8 Ti 0.641 0.870 0.283
Ga1 Ga 0.500 0.000 0.000
Sn1 Sn 0.189 0.689 0.377
Sn2 Sn 0.811 0.311 0.623
```

---

Record 10
Computed, not measured: a relaxed structure of DyCuNiGe2 at the GGA-PBE level of DFT.

## Properties
Space group: I-4m2, No. 119
Energy of formation (eV/atom): -0.589

Cell and atoms, written as CIF:
```
data_DyCuNiGe2
_cell_length_a 4.058
_cell_length_b 4.058
_cell_length_c 5.796
_cell_angle_alpha 110.49
_cell_angle_beta 110.49
_cell_angle_gamma 90.00
_symmetry_space_group_name_H-M 'P 1'
_symmetry_Int_Tables_number 1
_symmetry_space_group_name_Hall 'P 1'
loop_
_atom_site_label
_atom_site_type_symbol
_atom_site_fract_x
_atom_site_fract_y
_atom_site_fract_z
Dy1 Dy 0.000 0.000 0.000
Ni1 Ni 0.750 0.250 0.500
Ge1 Ge 0.623 0.623 0.247
Ge2 Ge 0.377 0.377 0.753
Cu1 Cu 0.250 0.750 0.500
```

---

Record 11
Computed, not measured: a relaxed structure of SrLaSi2 at the GGA-PBE level of DFT.

## Properties
Offset from the most stable computed form (meV/atom): 414
Space group: I-4m2, No. 119
Raw formation energy (meV per atom): -166

Cell and atoms, written as CIF:
```
data_SrLaSi2
_cell_length_a 6.127
_cell_length_b 6.127
_cell_length_c 6.127
_cell_angle_alpha 137.55
_cell_angle_beta 137.55
_cell_angle_gamma 61.59
_symmetry_space_group_name_H-M 'P 1'
_symmetry_Int_Tables_number 1
_symmetry_space_group_name_Hall 'P 1'
loop_
_atom_site_label
_atom_site_type_symbol
_atom_site_fract_x
_atom_site_fract_y
_atom_site_fract_z
Si1 Si 0.000 0.000 0.000
Si2 Si 0.250 0.750 0.500
La1 La 0.750 0.250 0.500
Sr1 Sr 0.500 0.500 0.000
```

---

Record 12
Computed, not measured: a relaxed structure of Zn2SiH2O5 at the GGA-PBE level of DFT.

## Properties
Space group: Imm2, No. 44
Calculated total energy (Ry/atom): -0.4176

Cell and atoms, written as CIF:
```
data_Zn2SiH2O5
_cell_length_a 7.376
_cell_length_b 7.376
_cell_length_c 7.376
_cell_angle_alpha 138.98
_cell_angle_beta 109.25
_cell_angle_gamma 85.18
_symmetry_space_group_name_H-M 'P 1'
_symmetry_Int_Tables_number 1
_symmetry_space_group_name_Hall 'P 1'
loop_
_atom_site_label
_atom_site_type_symbol
_atom_site_fract_x
_atom_site_fract_y
_atom_site_fract_z
Si1 Si 0.354 0.844 0.490
Si2 Si 0.646 0.137 0.490
O1 O 0.333 0.137 0.804
O2 O 0.500 0.908 0.408
O3 O 0.667 0.471 0.804
O4 O 0.546 0.068 0.203
O5 O 0.196 0.471 0.667
O6 O 0.454 0.657 0.522
O7 O 0.804 0.471 0.276
O8 O 0.865 0.068 0.522
O9 O 0.135 0.657 0.203
O10 O 0.000 0.970 0.970
Zn1 Zn 0.540 0.334 0.199
Zn2 Zn 0.135 0.334 0.794
Zn3 Zn 0.865 0.659 0.199
Zn4 Zn 0.460 0.659 0.794
H1 H 0.877 0.325 0.201
H2 H 0.911 0.850 0.761
H3 H 0.123 0.325 0.448
H4 H 0.089 0.850 0.938
```

---

Number 1: size of the total moment 0.0 μB/cell. Number 2: size of the total moment 7.1 μB/cell. Number 3: size of the total moment 0.0 μB/cell. Number 4: size of the total moment 0.0 μB/cell. Number 5: size of the total moment 8.2 μB/cell. Number 6: size of the total moment 0.0 μB/cell. Number 7: size of the total moment 0.0 μB/cell. Number 8: size of the total moment 0.0 μB/cell. Number 9: size of the total moment 0.0 μB/cell. Number 10: size of the total moment 0.0 μB/cell. Number 11: size of the total moment 0.0 μB/cell. Number 12: size of the total moment 0.0 μB/cell.